[1]
MnNiAsSe2, PBEsol geometry, DFT meta-GGA SCAN; energy = -18.314 eV/atom; crystal system = tetragonal; SG = P4/mmm, No. 123; formation energy without anion corrections = 642 meV/atom
1.0
-4.114 -1.477 1.030
1.119 -4.220 -1.581
1.488 -1.192 4.234
Se Ni Mn As
2 1 1 1
Cartesian
0.560 -2.110 -0.791
0.744 -0.596 2.117
-0.754 -3.444 1.841
0.000 0.000 0.000
-2.057 -0.739 0.515

***

[2]
KCa3Al, PBEsol geometry, DFT meta-GGA SCAN; energy = -7.878 eV/atom; crystal system = cubic; SG = Pm-3m, No. 221; formation energy = 1.14 eV per atom
1.0
-5.069 1.470 2.438
0.084 -4.899 3.129
2.846 2.763 4.250
K Ca Al
1 3 1
Cartesian
0.000 0.000 0.000
-2.534 0.735 1.219
1.423 1.381 2.125
0.042 -2.450 1.564
-1.069 -0.333 4.909